# CaAcRhPb, relaxed, DFT GGA-PBE
# **ΔE to the lowest computed polymorph**: 0.0 meV per atom
# **Mass density**: 8.25 Mg/m³
data_CaAcRhPb
_chemical_formula_sum 'Ca1 Ac1 Rh1 Pb1'
_space_group_name_H-M_alt 'P 1'
_space_group_IT_number 1
_cell_length_a 4.6739
_cell_length_b 3.9774
_cell_length_c 6.6726
_cell_angle_alpha 90.00
_cell_angle_beta 110.50
_cell_angle_gamma 90.00
loop_
_space_group_symop_operation_xyz
'x,y,z'
loop_
_atom_site_label
_atom_site_type_symbol
_atom_site_fract_x
_atom_site_fract_y
_atom_site_fract_z
Ca1 Ca 0.1573 0.0000 0.3146
Ac1 Ac 0.8643 0.5000 0.7287
Rh1 Rh 0.4063 0.0000 0.8125
Pb1 Pb 0.5721 0.5000 0.1442

# CaAcSbPb, relaxed, DFT GGA-PBE
# **ΔE_f (raw)**: -626.5 meV/atom
# **Mass density**: 7.53 Mg/m³
data_CaAcSbPb
_chemical_formula_sum 'Ca1 Ac1 Sb1 Pb1'
_space_group_name_H-M_alt 'P 1'
_space_group_IT_number 1
_cell_length_a 5.7075
_cell_length_b 5.7075
_cell_length_c 5.7075
_cell_angle_alpha 60.00
_cell_angle_beta 60.00
_cell_angle_gamma 60.00
loop_
_space_group_symop_operation_xyz
'x,y,z'
loop_
_atom_site_label
_atom_site_type_symbol
_atom_site_fract_x
_atom_site_fract_y
_atom_site_fract_z
Pb1 Pb 0.0000 0.0000 0.0000
Sb1 Sb 0.5000 0.5000 0.5000
Ac1 Ac 0.7500 0.7500 0.7500
Ca1 Ca 0.2500 0.2500 0.2500

Question: The lowest mass density belongs to which entry?
Answer: CaAcSbPb

Please write out number 2 again, unchanged.
# CaAcSbPb, relaxed, DFT GGA-PBE
# **ΔE_f (raw)**: -626.5 meV/atom
# **Mass density**: 7.53 Mg/m³
data_CaAcSbPb
_chemical_formula_sum 'Ca1 Ac1 Sb1 Pb1'
_space_group_name_H-M_alt 'P 1'
_space_group_IT_number 1
_cell_length_a 5.7075
_cell_length_b 5.7075
_cell_length_c 5.7075
_cell_angle_alpha 60.00
_cell_angle_beta 60.00
_cell_angle_gamma 60.00
loop_
_space_group_symop_operation_xyz
'x,y,z'
loop_
_atom_site_label
_atom_site_type_symbol
_atom_site_fract_x
_atom_site_fract_y
_atom_site_fract_z
Pb1 Pb 0.0000 0.0000 0.0000
Sb1 Sb 0.5000 0.5000 0.5000
Ac1 Ac 0.7500 0.7500 0.7500
Ca1 Ca 0.2500 0.2500 0.2500

Question: Number 2 is which compound?
Answer: CaAcSbPb